A relaxed TiSb2Rh4 crystal. Source: Alexandria via LeMat-Bulk, functional PBE.

Properties
Its uncorrected formation energy is 0.242 eV/atom. For the calculated volume, the calculation gives 281.2 Å³ per cell. Its electronic total energy is -6.265 eV per atom. Its density is 8.30 g/cm3.

Structure (CIF):
```
data_TiSb2Rh4
_symmetry_space_group_name_H-M 'I 4/m m m'
_symmetry_Int_Tables_number 139
_symmetry_space_group_name_Hall '-I 4 2'
_cell_length_a 4.613
_cell_length_b 4.613
_cell_length_c 13.217
_cell_angle_alpha 90.00
_cell_angle_beta 90.00
_cell_angle_gamma 90.00
loop_
_atom_site_label
_atom_site_fract_x
_atom_site_fract_y
_atom_site_fract_z
_atom_site_occupancy
Ti1 0.000 0.000 0.000 1
Sb1 0.000 0.000 0.373 1
Rh1 0.000 0.000 0.177 1
Rh2 0.000 0.500 0.000 1
```



A relaxed KZnW2Se crystal. Source: Alexandria via LeMat-Bulk, functional PBE.

Properties
Its uncorrected formation energy is 1.542 eV/atom. For the calculated volume, the calculation gives 124.7 Å³ per cell. Its electronic total energy is -4.810 eV per atom. Its density is 7.34 g/cm3.

Structure (CIF):
```
data_KZnW2Se
_symmetry_space_group_name_H-M 'P 4/m m m'
_symmetry_Int_Tables_number 123
_symmetry_space_group_name_Hall '-P 4 2'
_cell_length_a 4.691
_cell_length_b 4.691
_cell_length_c 5.667
_cell_angle_alpha 90.00
_cell_angle_beta 90.00
_cell_angle_gamma 90.00
loop_
_atom_site_label
_atom_site_fract_x
_atom_site_fract_y
_atom_site_fract_z
_atom_site_occupancy
K1 0.000 0.000 0.000 1
Zn1 0.500 0.500 0.000 1
W1 0.000 0.500 0.500 1
Se1 0.500 0.500 0.500 1
```



A relaxed KBa2Nb2O7 crystal. Source: Alexandria via LeMat-Bulk, functional PBE.

Properties
Its uncorrected formation energy is -2.625 eV/atom. For the calculated volume, the calculation gives 368.2 Å³ per cell. Its electronic total energy is -7.608 eV per atom. Its density is 5.52 g/cm3.

Structure (CIF):
```
data_KBa2Nb2O7
_symmetry_space_group_name_H-M 'I 4/m m m'
_symmetry_Int_Tables_number 139
_symmetry_space_group_name_Hall '-I 4 2'
_cell_length_a 4.121
_cell_length_b 4.121
_cell_length_c 21.685
_cell_angle_alpha 90.00
_cell_angle_beta 90.00
_cell_angle_gamma 90.00
loop_
_atom_site_label
_atom_site_fract_x
_atom_site_fract_y
_atom_site_fract_z
_atom_site_occupancy
K1 0.000 0.000 0.000 1
Ba1 0.000 0.000 0.184 1
Nb1 0.000 0.000 0.407 1
O1 0.000 0.000 0.311 1
O2 0.000 0.000 0.500 1
O3 0.000 0.500 0.096 1
```



A relaxed RbCaAsO2 crystal. Source: Alexandria via LeMat-Bulk, functional PBE.

Properties
Its uncorrected formation energy is 0.117 eV/atom. For the calculated volume, the calculation gives 105.7 Å³ per cell. Its electronic total energy is -3.390 eV per atom. Its density is 3.65 g/cm3.

Structure (CIF):
```
data_RbCaAsO2
_symmetry_space_group_name_H-M 'P 4/m m m'
_symmetry_Int_Tables_number 123
_symmetry_space_group_name_Hall '-P 4 2'
_cell_length_a 4.391
_cell_length_b 4.391
_cell_length_c 5.482
_cell_angle_alpha 90.00
_cell_angle_beta 90.00
_cell_angle_gamma 90.00
loop_
_atom_site_label
_atom_site_fract_x
_atom_site_fract_y
_atom_site_fract_z
_atom_site_occupancy
Rb1 0.000 0.000 0.000 1
Ca1 0.500 0.500 0.000 1
As1 0.000 0.000 0.500 1
O1 0.000 0.500 0.500 1
```